1.
KTeH (GGA-PBE, optimized geometry); total magnetic moment = 0.00 μB/cell
1.0
5.692 0.000 0.000
2.758 5.038 0.000
0.016 0.199 6.081
K Te H
2 2 2
Cartesian
0.000 0.000 0.000
2.731 1.885 3.060
5.672 3.758 4.504
5.523 3.199 1.466
2.262 1.859 0.044
2.698 1.429 6.024

***

2.
KTiTe2H (GGA-PBE, optimized geometry); energy relative to the lowest polymorph listed for this composition = 0.0 meV per atom; total magnetic moment = 0.00 μB/cell
1.0
7.385 0.000 0.000
0.000 3.932 0.000
-2.932 0.000 9.161
K Ti Te H
2 2 4 2
Cartesian
0.174 0.983 2.807
4.279 2.949 6.354
0.124 0.983 7.661
4.329 2.949 1.499
1.899 2.949 0.160
0.613 2.949 5.818
3.840 0.983 3.342
2.554 0.983 9.000
-1.572 0.983 7.153
6.025 2.949 2.008

***

3.
KTiTe2H (GGA-PBE, optimized geometry); energy relative to the lowest polymorph listed for this composition = 960.3 meV per atom; total magnetic moment = 0.44 μB/cell
1.0
5.144 0.000 0.000
0.000 5.144 0.000
0.000 0.000 4.194
K Ti Te H
1 1 2 1
Cartesian
0.000 0.000 0.000
2.572 2.572 0.000
0.000 2.572 2.097
2.572 0.000 2.097
0.000 0.000 2.097

***

4.
K2TlTeH (GGA-PBE, optimized geometry); total magnetic moment = 0.00 μB/cell
1.0
5.286 0.000 0.000
0.000 5.286 0.000
0.000 0.000 5.235
K Tl Te H
2 1 1 1
Cartesian
0.000 2.643 0.000
2.643 0.000 0.000
0.000 0.000 2.617
2.643 2.643 2.617
0.000 0.000 0.000

***

5.
KTl2TeH (GGA-PBE, optimized geometry); total magnetic moment = 0.00 μB/cell
1.0
5.176 0.000 0.000
0.000 5.176 0.000
0.000 0.000 5.266
K Tl Te H
1 2 1 1
Cartesian
0.000 0.000 0.000
0.000 2.588 2.633
2.588 0.000 2.633
2.588 2.588 0.000
0.000 0.000 2.633

***

6.
KZrTe2H (GGA-PBE, optimized geometry); energy relative to the lowest polymorph listed for this composition = 0.0 meV per atom; total magnetic moment = 0.00 μB/cell
1.0
7.543 0.000 0.000
0.000 4.115 0.000
-2.954 0.000 9.364
K Zr Te H
2 2 4 2
Cartesian
0.227 1.029 2.828
4.361 3.086 6.536
0.147 1.029 7.744
4.441 3.086 1.620
1.906 3.086 0.151
0.668 3.086 5.818
3.920 1.029 3.546
2.683 1.029 9.213
-1.708 1.029 7.224
6.296 3.086 2.140

***

| no. | total energy (eV per cell) |
| --- | --- |
| 1 | -18.60 |
| 2 | -43.71 |
| 3 | -17.06 |
| 4 | -13.51 |
| 5 | -13.60 |
| 6 | -46.23 |